Record 1
A relaxed Rb3Ac3DyTe8 crystal, computed with PBE.

abc: 9.543 9.543 10.344
angles: 117.52 117.52 59.93
Fractional positions:
Rb 0.000 0.000 0.000
Rb 0.000 0.500 0.000
Rb 0.500 0.000 0.000
Ac 0.000 0.500 0.500
Ac 0.500 0.000 0.500
Ac 0.500 0.500 0.500
Dy 0.000 0.000 0.500
Te 0.224 0.224 0.701
Te 0.224 0.753 0.701
Te 0.247 0.776 0.299
Te 0.262 0.262 0.285
Te 0.738 0.738 0.715
Te 0.753 0.224 0.701
Te 0.776 0.247 0.299
Te 0.776 0.776 0.299

Properties
Crystal system ... monoclinic
Formation energy without anion corrections ... -1.366 eV/atom


Record 2
A relaxed Rb3Ac2DyTe6 crystal, computed with PBE.

abc: 8.252 8.252 9.020
angles: 98.80 98.80 120.02
Fractional positions:
Rb 0.000 0.000 0.000
Rb 0.330 0.670 0.000
Rb 0.670 0.330 0.000
Ac 0.166 0.834 0.500
Ac 0.834 0.166 0.500
Dy 0.500 0.500 0.500
Te 0.115 0.431 0.293
Te 0.255 0.255 0.708
Te 0.431 0.115 0.293
Te 0.569 0.885 0.707
Te 0.745 0.745 0.292
Te 0.885 0.569 0.707

Properties
Crystal system ... monoclinic
Formation energy without anion corrections ... -1.449 eV/atom


Record 3
A relaxed Rb3AcDy2Te6 crystal, computed with PBE.

abc: 8.051 8.051 8.984
angles: 98.62 98.62 120.02
Fractional positions:
Rb 0.000 0.000 0.000
Rb 0.337 0.663 0.000
Rb 0.663 0.337 0.000
Ac 0.500 0.500 0.500
Dy 0.167 0.833 0.500
Dy 0.833 0.167 0.500
Te 0.080 0.432 0.297
Te 0.216 0.216 0.702
Te 0.432 0.080 0.297
Te 0.568 0.920 0.703
Te 0.784 0.784 0.298
Te 0.920 0.568 0.703

Properties
Crystal system ... monoclinic
Formation energy without anion corrections ... -1.412 eV/atom


Record 4
A relaxed Ac2DyRh crystal, computed with PBE.

abc: 3.791 3.791 9.012
angles: 90.00 90.00 90.00
Fractional positions:
Ac 0.000 0.000 0.196
Ac 0.000 0.000 0.804
Dy 0.500 0.500 0.500
Rh 0.500 0.500 0.000

Properties
E_form ... -0.777 eV/f.u.
ΔE to the lowest computed polymorph ... 0 kJ/mol of formula units
Crystal system ... tetragonal


Record 5
A relaxed Ac2DyRh crystal, computed with PBE.

abc: 5.539 5.539 13.697
angles: 90.00 90.00 120.00
Fractional positions:
Ac 0.000 0.000 0.249
Ac 0.000 0.000 0.751
Ac 0.333 0.667 0.418
Ac 0.333 0.667 0.916
Ac 0.667 0.333 0.084
Ac 0.667 0.333 0.582
Dy 0.000 0.000 0.000
Dy 0.333 0.667 0.667
Dy 0.667 0.333 0.333
Rh 0.000 0.000 0.500
Rh 0.333 0.667 0.167
Rh 0.667 0.333 0.833

Properties
E_form ... 0.285 eV/f.u.
ΔE to the lowest computed polymorph ... 102 kJ/mol of formula units
Crystal system ... trigonal


Record 6
A relaxed AcDyRh4 crystal, computed with PBE.

abc: 5.448 5.448 5.448
angles: 60.00 60.00 60.00
Fractional positions:
Ac 0.000 0.000 0.000
Dy 0.750 0.750 0.750
Rh 0.376 0.376 0.376
Rh 0.376 0.376 0.873
Rh 0.376 0.873 0.376
Rh 0.873 0.376 0.376

Properties
E_form ... -3.722 eV/f.u.
Crystal system ... cubic


| no. | calculated total energy (eV for the cell shown) |
| --- | --- |
| 1 | -65.5 |
| 2 | -52.0 |
| 3 | -52.0 |
| 4 | -20.9 |
| 5 | -59.7 |
| 6 | -41.8 |